{
  "formula": "Li2ReMoO6",
  "functional": "PBE+U",
  "state": "optimized geometry",
  "lattice_angstrom": [[5.6354, 0.0000, 0.0000], [0.0000, 5.6354, 0.0000], [0.0000, 0.0000, 3.8524]],
  "species": ["Li", "Li", "Re", "Mo", "O", "O", "O", "O", "O", "O"],
  "fractional_positions": [[0.0000, 0.5000, 0.0000], [0.5000, 0.0000, 0.0000], [0.0000, 0.0000, 0.8627], [0.5000, 0.5000, 0.8505], [0.0000, 0.0000, 0.3660], [0.2433, 0.2433, 0.8699], [0.2433, 0.7567, 0.8699], [0.5000, 0.5000, 0.3571], [0.7567, 0.2433, 0.8699], [0.7567, 0.7567, 0.8699]],
  "dft_energy_ev_per_atom": -7.01
}